No. 1
DFT (GGA-PBE) results for CdSn3Pb12 after structural relaxation.

abc: 4.8747 4.8747 20.5800
angles: 90.00 90.00 90.00
Element x y z (fractional)
Sn (0.0000, 0.0000, 0.2473)
Sn (0.0000, 0.0000, 0.7527)
Sn (0.0000, 0.0000, 0.5000)
Cd (0.0000, 0.0000, 0.0000)
Pb (0.5000, 0.0000, 0.6266)
Pb (0.5000, 0.5000, 0.2481)
Pb (0.5000, 0.5000, 0.7519)
Pb (0.5000, 0.0000, 0.8780)
Pb (0.5000, 0.5000, 0.5000)
Pb (0.0000, 0.5000, 0.3734)
Pb (0.0000, 0.5000, 0.6266)
Pb (0.0000, 0.5000, 0.8780)
Pb (0.5000, 0.0000, 0.1220)
Pb (0.5000, 0.5000, 0.0000)
Pb (0.0000, 0.5000, 0.1220)
Pb (0.5000, 0.0000, 0.3734)

Properties
V ... 489.0 Å³/cell
Spin magnetization ... 0.000 μB/cell
ΔE_f ... 0.031 eV per atom

=====

No. 2
DFT (GGA-PBE) results for BaLi3O after structural relaxation.

abc: 4.5547 4.5547 4.5547
angles: 90.00 90.00 90.00
Site moments in Bohr magnetons follow the coordinates.
Element x y z (fractional)
Li (0.0000, 0.0000, 0.5000)  0.02
Li (0.5000, 0.0000, 0.0000)  0.01
Li (0.0000, 0.5000, 0.0000)  0.01
O (0.0000, 0.0000, 0.0000)  -0.01
Ba (0.5000, 0.5000, 0.5000)  0.18

Properties
V ... 94.5 Å³/cell
Spin magnetization ... 0.708 μB/cell
ΔE_f (raw) ... -0.430 eV per atom

=====

No. 3
DFT (GGA-PBE) results for Rb2CaBe2Se4 after structural relaxation.

abc: 4.0001 8.1589 8.0428
angles: 109.66 104.40 90.00
Element x y z (fractional)
Ca (0.0000, 0.0000, 0.0000)
Se (0.7919, 0.8563, 0.5839)
Se (0.5352, 0.7748, 0.0705)
Se (0.4648, 0.2252, 0.9295)
Se (0.2081, 0.1437, 0.4161)
Be (0.3252, 0.0315, 0.6504)
Be (0.6748, 0.9685, 0.3496)
Rb (0.8718, 0.4600, 0.7436)
Rb (0.1282, 0.5400, 0.2564)

Properties
V ... 238.4 Å³/cell
Spin magnetization ... 0.000 μB/cell
ΔE_f (raw) ... -1.179 eV per atom

=====

No. 4
DFT (GGA-PBE) results for Ta2FeAs after structural relaxation.

abc: 2.9344 2.9344 7.4235
angles: 90.00 90.00 101.00
Element x y z (fractional)
As (0.5000, 0.5000, 0.2500)
Ta (0.0000, 0.0000, 0.5221)
Ta (0.0000, 0.0000, 0.9779)
Fe (0.5000, 0.5000, 0.7500)

Properties
V ... 62.7 Å³/cell
Spin magnetization ... 0.000 μB/cell
ΔE_f ... -0.038 eV per atom

=====

No. 5
DFT (GGA-PBE) results for MgBe2Te after structural relaxation.

abc: 3.6363 3.6363 6.4467
angles: 90.00 90.00 113.39
Element x y z (fractional)
Be (0.0000, 0.0000, 0.0539)
Be (0.5000, 0.5000, 0.1901)
Te (0.5000, 0.5000, 0.8124)
Mg (0.0000, 0.0000, 0.4436)

Properties
V ... 78.2 Å³/cell
Spin magnetization ... 0.000 μB/cell
ΔE_f (raw) ... 0.440 eV per atom

=====

No. 6
DFT (GGA-PBE) results for K2TmBe2S4 after structural relaxation.

abc: 3.6597 7.7272 7.4586
angles: 110.50 104.20 90.00
Element x y z (fractional)
S (0.5332, 0.7683, 0.0664)
S (0.2051, 0.1450, 0.4102)
S (0.7949, 0.8550, 0.5898)
S (0.4668, 0.2317, 0.9336)
Be (0.3300, 0.0180, 0.6600)
Be (0.6700, 0.9820, 0.3400)
K (0.1282, 0.5456, 0.2563)
K (0.8718, 0.4544, 0.7437)
Tm (0.0000, 0.0000, 0.0000)

Properties
V ... 190.7 Å³/cell
Spin magnetization ... 0.000 μB/cell
ΔE_f (raw) ... -1.206 eV per atom

=====

No. 7
DFT (GGA-PBE) results for Ho2ErIr after structural relaxation.

abc: 3.8150 3.8150 9.5522
angles: 78.48 78.48 60.00
Site moments in Bohr magnetons follow the coordinates.
Element x y z (fractional)
Ho (0.7251, 0.7251, 0.8246)  0.07
Ho (0.2749, 0.2749, 0.1754)  0.07
Er (0.5000, 0.5000, 0.5000)  0.34
Ir (0.0000, 0.0000, 0.0000)  0.02

Properties
V ... 117.2 Å³/cell
Spin magnetization ... 0.760 μB/cell
ΔE_f ... -0.298 eV per atom

=====

No. 8
DFT (GGA-PBE) results for Sr2Tl3Rh after structural relaxation.

abc: 5.0883 6.2729 6.5070
angles: 77.11 66.98 66.07
Element x y z (fractional)
Tl (0.8056, 0.2517, 0.1371)
Tl (0.1649, 0.7541, 0.9162)
Tl (0.8748, 0.5898, 0.6607)
Rh (0.1775, 0.3863, 0.2588)
Sr (0.5425, 0.1946, 0.7204)
Sr (0.4348, 0.8235, 0.3069)

Properties
V ... 174.2 Å³/cell
Spin magnetization ... 0.000 μB/cell
ΔE_f ... -0.315 eV per atom

=====

No. 9
DFT (GGA-PBE) results for Ac2Cd3Pt2 after structural relaxation.

abc: 4.5179 5.8074 7.9142
angles: 108.92 90.00 112.89
Element x y z (fractional)
Cd (0.3679, 0.7358, 0.5616)
Cd (0.5000, 0.0000, 0.0000)
Cd (0.6321, 0.2642, 0.4384)
Pt (0.1564, 0.3128, 0.2022)
Pt (0.8436, 0.6872, 0.7978)
Ac (0.1383, 0.2766, 0.7819)
Ac (0.8617, 0.7234, 0.2181)

Properties
V ... 179.1 Å³/cell
Spin magnetization ... 0.000 μB/cell
ΔE_f ... -0.697 eV per atom

=====

No. 10
DFT (GGA-PBE) results for TlFe2PdCl8 after structural relaxation.

abc: 6.7527 7.6244 8.9774
angles: 60.82 67.91 63.72
Site moments in Bohr magnetons follow the coordinates.
Element x y z (fractional)
Cl (0.8577, 0.0102, 0.7872)  0.10
Cl (0.8574, 0.6408, 0.6444)  0.20
Cl (0.3448, 0.0102, 0.7872)  0.10
Cl (0.6763, 0.5408, 0.1065)  0.18
Cl (0.1423, 0.9898, 0.2128)  0.10
Cl (0.3237, 0.4592, 0.8935)  0.18
Cl (0.1426, 0.3592, 0.3556)  0.20
Cl (0.6552, 0.9898, 0.2128)  0.10
Pd (0.0000, 0.0000, 0.0000)  -0.21
Fe (0.6891, 0.7826, 0.8392)  3.64
Fe (0.3109, 0.2174, 0.1608)  3.64
Tl (0.5000, 0.5000, 0.5000)  0.01

Properties
V ... 354.2 Å³/cell
Spin magnetization ... 8.999 μB/cell
ΔE_f (raw) ... -0.731 eV per atom

=====

No. 11
DFT (GGA-PBE) results for Rb3CdAu2 after structural relaxation.

abc: 5.0344 9.7082 12.4190
angles: 69.83 78.31 74.97
Element x y z (fractional)
Cd (0.5795, 0.5077, 0.3332)
Cd (0.4205, 0.4923, 0.6668)
Rb (0.3429, 0.3170, 0.9972)
Rb (0.0495, 0.1480, 0.7531)
Rb (0.2200, 0.1706, 0.3894)
Rb (0.9505, 0.8520, 0.2469)
Rb (0.6571, 0.6830, 0.0028)
Rb (0.7800, 0.8294, 0.6106)
Au (0.1387, 0.5170, 0.2057)
Au (0.5971, 0.2553, 0.5505)
Au (0.4029, 0.7447, 0.4495)
Au (0.8613, 0.4830, 0.7943)

Properties
V ... 545.9 Å³/cell
Spin magnetization ... 0.000 μB/cell
ΔE_f ... -0.175 eV per atom

=====

No. 12
DFT (GGA-PBE) results for Eu2MgPb after structural relaxation.

abc: 4.4331 5.3349 5.3349
angles: 90.00 90.00 90.00
Site moments in Bohr magnetons follow the coordinates.
Element x y z (fractional)
Pb (0.5000, 0.5000, 0.5000)  -0.04
Eu (0.0000, 0.5000, 0.0000)  6.85
Eu (0.0000, 0.0000, 0.5000)  6.85
Mg (0.5000, 0.0000, 0.0000)  0.00

Properties
V ... 126.2 Å³/cell
Spin magnetization ... 14.111 μB/cell
ΔE_f ... -0.353 eV per atom